1.
The following is a DFT calculation (PBE) of crystalline ZrTl4S4 at its relaxed geometry.

Lattice parameters (Å, degrees): 9.2704 9.2731 15.8169 75.91 75.27 89.89
Fractional positions:
Zr1 0.0000 0.0000 0.0000
Zr2 0.0144 0.1816 0.4010
Zr3 0.1751 0.8121 0.8006
Zr4 0.8249 0.1879 0.1994
Zr5 0.9856 0.8184 0.5990
Tl1 0.0379 0.5737 0.2011
Tl2 0.2100 0.2168 0.5990
Tl3 0.2127 0.5857 0.4031
Tl4 0.2168 0.3945 0.0089
Tl5 0.2191 0.9545 0.2037
Tl6 0.3745 0.6008 0.6126
Tl7 0.3836 0.2006 0.8101
Tl8 0.3898 0.7875 0.9963
Tl9 0.4109 0.9710 0.4023
Tl10 0.4162 0.3879 0.2019
Tl11 0.5838 0.6121 0.7981
Tl12 0.5891 0.0290 0.5977
Tl13 0.6102 0.2125 0.0037
Tl14 0.6164 0.7994 0.1899
Tl15 0.6255 0.3992 0.3874
Tl16 0.7809 0.0455 0.7963
Tl17 0.7832 0.6055 0.9911
Tl18 0.7873 0.4143 0.5969
Tl19 0.7900 0.7832 0.4010
Tl20 0.9621 0.4263 0.7989
S1 0.0657 0.5554 0.5957
S2 0.0718 0.8976 0.4227
S3 0.0763 0.7371 0.9784
S4 0.0866 0.0802 0.8230
S5 0.0906 0.2365 0.2244
S6 0.2435 0.5453 0.8073
S7 0.2490 0.8877 0.6239
S8 0.2685 0.0726 0.0037
S9 0.2810 0.2553 0.3963
S10 0.4399 0.8875 0.8004
S11 0.5601 0.1125 0.1996
S12 0.7190 0.7447 0.6037
S13 0.7315 0.9274 0.9963
S14 0.7510 0.1123 0.3761
S15 0.7565 0.4547 0.1927
S16 0.9094 0.7635 0.7756
S17 0.9134 0.9198 0.1770
S18 0.9237 0.2629 0.0216
S19 0.9282 0.1024 0.5773
S20 0.9343 0.4446 0.4043

E_form (uncorrected) ... -0.786 eV/atom
E above lowest polymorph ... 0.0 meV per atom


2.
The following is a DFT calculation (PBE) of crystalline ZrTlS2 at its relaxed geometry.

Lattice parameters (Å, degrees): 4.8421 4.8421 4.8421 60.00 60.00 60.00
Fractional positions:
Zr1 0.0000 0.0000 0.0000
Tl1 0.5000 0.5000 0.5000
S1 0.2500 0.2500 0.2500
S2 0.7500 0.7500 0.7500

E_form (uncorrected) ... -0.492 eV/atom
DOS(E_F) ... 0.918 states/eV/atom


3.
The following is a DFT calculation (PBE) of crystalline ZrTlS2 at its relaxed geometry.

Lattice parameters (Å, degrees): 3.6463 3.6463 8.2578 90.09 90.09 59.99
Fractional positions:
Zr1 0.0000 0.0000 0.0000
Tl1 0.0000 0.0000 0.5000
S1 0.3328 0.3328 0.8147
S2 0.6672 0.6672 0.1853

E_form (uncorrected) ... -1.183 eV/atom
DOS(E_F) ... 0.446 states/eV/atom


4.
The following is a DFT calculation (PBE) of crystalline ZrTlS3 at its relaxed geometry.

Lattice parameters (Å, degrees): 7.5064 7.5064 7.5064 53.26 53.26 53.26
Fractional positions:
Zr1 0.1603 0.1603 0.1603
Zr2 0.8397 0.8397 0.8397
Tl1 0.3705 0.3705 0.3705
Tl2 0.6295 0.6295 0.6295
S1 0.0240 0.4318 0.8067
S2 0.1933 0.9760 0.5682
S3 0.4318 0.8067 0.0240
S4 0.5682 0.1933 0.9760
S5 0.8067 0.0240 0.4318
S6 0.9760 0.5682 0.1933

E_form (uncorrected) ... -0.922 eV/atom
E above lowest polymorph ... 0.0 meV per atom
DOS(E_F) ... 0.494 states/eV/atom